1.
A plane-wave DFT calculation with PBE was carried out for a relaxed structure of SbPd3Br.

Lattice parameters (Å, degrees): 4.818 4.818 4.818 90.00 90.00 90.00
Atoms (fractional coordinates):
Sb 0.500 0.500 0.500
Br 0.000 0.000 0.000
Pd 0.000 0.500 0.000
Pd 0.000 0.000 0.500
Pd 0.500 0.000 0.000

## Properties
ΔE_f (raw): 503 meV per atom
E above lowest polymorph: 0.7383 eV per atom
M_tot: 0.00 μB/atom


2.
A plane-wave DFT calculation with PBE was carried out for a relaxed structure of ErThPtAu.

Lattice parameters (Å, degrees): 3.859 4.433 5.979 90.00 108.83 90.00
Atoms (fractional coordinates):
Er 0.142 0.000 0.285
Th 0.866 0.500 0.733
Pt 0.401 0.000 0.803
Au 0.590 0.500 0.180

## Properties
E above lowest polymorph: 0.0000 eV per atom
M_tot: 0.00 μB/atom
ΔH_f (0 K): -1.056 eV/atom


3.
A plane-wave DFT calculation with PBE was carried out for a relaxed structure of Ba5I3Br12.

Lattice parameters (Å, degrees): 17.088 17.088 17.088 109.47 109.47 109.47
Atoms (fractional coordinates):
I 0.750 0.375 0.125
I 0.875 0.750 0.125
I 0.375 0.750 0.625
I 0.250 0.125 0.375
I 0.875 0.125 0.250
I 0.375 0.625 0.250
I 0.625 0.375 0.750
I 0.125 0.875 0.750
I 0.750 0.875 0.625
I 0.625 0.250 0.375
I 0.125 0.250 0.875
I 0.250 0.625 0.875
Ba 0.125 0.375 0.250
Ba 0.000 0.500 0.000
Ba 0.000 0.000 0.000
Ba 0.375 0.250 0.125
Ba 0.500 0.000 0.500
Ba 0.500 0.500 0.000
Ba 0.125 0.750 0.375
Ba 0.750 0.125 0.875
Ba 0.750 0.625 0.375
Ba 0.375 0.125 0.750
Ba 0.625 0.875 0.250
Ba 0.500 0.500 0.500
Ba 0.500 0.000 0.000
Ba 0.000 0.000 0.500
Ba 0.250 0.375 0.625
Ba 0.250 0.875 0.125
Ba 0.000 0.500 0.500
Ba 0.875 0.250 0.625
Ba 0.625 0.750 0.875
Ba 0.875 0.625 0.750
Br 0.716 0.102 0.037
Br 0.321 0.537 0.435
Br 0.963 0.398 0.284
Br 0.537 0.216 0.102
Br 0.614 0.716 0.679
Br 0.963 0.565 0.179
Br 0.321 0.784 0.386
Br 0.065 0.886 0.102
Br 0.565 0.963 0.679
Br 0.716 0.614 0.179
Br 0.784 0.463 0.398
Br 0.821 0.935 0.037
Br 0.102 0.716 0.537
Br 0.398 0.435 0.114
Br 0.114 0.935 0.398
Br 0.386 0.102 0.565
Br 0.114 0.179 0.216
Br 0.463 0.679 0.065
Br 0.821 0.886 0.284
Br 0.102 0.386 0.065
Br 0.398 0.963 0.784
Br 0.565 0.602 0.386
Br 0.935 0.821 0.537
Br 0.784 0.321 0.886
Br 0.435 0.398 0.614
Br 0.065 0.179 0.463
Br 0.216 0.679 0.114
Br 0.179 0.114 0.716
Br 0.602 0.037 0.216
Br 0.898 0.614 0.935
Br 0.537 0.321 0.935
Br 0.614 0.898 0.435
Br 0.886 0.821 0.784
Br 0.886 0.065 0.602
Br 0.898 0.284 0.463
Br 0.179 0.065 0.963
Br 0.602 0.565 0.886
Br 0.435 0.037 0.321
Br 0.284 0.386 0.821
Br 0.216 0.537 0.602
Br 0.935 0.114 0.898
Br 0.679 0.216 0.614
Br 0.463 0.784 0.898
Br 0.037 0.435 0.821
Br 0.386 0.284 0.321
Br 0.037 0.602 0.716
Br 0.679 0.463 0.565
Br 0.284 0.898 0.963

## Properties
ΔE_f (raw): -1328 meV per atom
M_tot: 0.25 μB/atom